[1]
Here is a geometry-optimized CsNaSb2P structure from Alexandria via LeMat-Bulk. Energies are from PBE-GGA.

Computed properties:
* theoretical density: 4.24 g/cm³
* E_form (uncorrected): 0.53 eV per atom

abc: 5.612 5.356 5.612
angles: 90.00 90.00 90.00
Sites, in units of the cell vectors:
Cs 0.500 0.500 0.500
Sb 0.000 0.000 0.500
Sb 0.500 0.000 0.000
Na 0.000 0.000 0.000
P 0.000 0.500 0.000

[2]
Here is a geometry-optimized CsNaPSe3 structure from Alexandria via LeMat-Bulk. Energies are from PBE-GGA.

Computed properties:
* theoretical density: 3.23 g/cm³
* E_form (uncorrected): -0.75 eV per atom

abc: 7.778 7.778 8.236
angles: 95.33 95.33 61.47
Sites, in units of the cell vectors:
Cs 0.663 0.663 0.871
Cs 0.337 0.337 0.129
Na 0.200 0.800 0.500
Na 0.800 0.200 0.500
P 0.983 0.983 0.858
P 0.017 0.017 0.142
Se 0.129 0.129 0.753
Se 0.131 0.666 0.791
Se 0.666 0.131 0.791
Se 0.334 0.869 0.209
Se 0.869 0.334 0.209
Se 0.871 0.871 0.247